Model a:
DFT (PBE-GGA) results for FeW3Cl after structural relaxation.

extended XYZ file:
```
5
Lattice="4.3477 0.0000 0.0000 0.0000 4.3477 0.0000 0.0000 0.0000 4.3477" Properties=species:S:1:pos:R:3 pbc="T T T"
Fe 0.0000 0.0000 0.0000
W 0.0000 2.1739 2.1739
W 2.1739 0.0000 2.1739
W 2.1739 2.1739 0.0000
Cl 2.1739 2.1739 2.1739
```

Model b:
DFT (PBE-GGA) results for FeW3Cl after structural relaxation.

extended XYZ file:
```
5
Lattice="4.5341 0.0000 0.0000 0.0000 4.5341 0.0000 0.0000 0.0000 4.5341" Properties=species:S:1:pos:R:3 pbc="T T T"
Fe 0.0000 0.0000 0.0000
W 0.0000 0.0000 2.2670
W 0.0000 2.2670 0.0000
W 2.2670 0.0000 0.0000
Cl 2.2670 2.2670 2.2670
```

We find model b to be the most stable, with the next structure 16 meV/atom higher.

Model a:
DFT (PBE-GGA) results for YFeCl3 after structural relaxation.

extended XYZ file:
```
5
Lattice="5.3154 0.0000 0.0000 0.0000 5.3154 0.0000 0.0000 0.0000 5.3154" Properties=species:S:1:pos:R:3 pbc="T T T"
Y 0.0000 0.0000 0.0000
Fe 2.6577 2.6577 2.6577
Cl 0.0000 0.0000 2.6577
Cl 0.0000 2.6577 0.0000
Cl 2.6577 0.0000 0.0000
```

Model b:
DFT (PBE-GGA) results for YFeCl3 after structural relaxation.

extended XYZ file:
```
5
Lattice="4.5651 0.0000 0.0000 0.0000 4.5651 0.0000 0.0000 0.0000 4.5651" Properties=species:S:1:pos:R:3 pbc="T T T"
Y 0.0000 0.0000 0.0000
Fe 2.2826 2.2826 2.2826
Cl 0.0000 2.2826 2.2826
Cl 2.2826 0.0000 2.2826
Cl 2.2826 2.2826 0.0000
```

We find model a to be the most stable, with the next structure 255 meV/atom higher.

Model a:
DFT (PBE-GGA) results for ZnFeCl3 after structural relaxation.

extended XYZ file:
```
5
Lattice="4.8445 0.0000 0.0000 0.0000 4.8445 0.0000 0.0000 0.0000 4.8445" Properties=species:S:1:pos:R:3 pbc="T T T"
Zn 0.0000 0.0000 0.0000
Fe 2.4222 2.4222 2.4222
Cl 0.0000 2.4222 2.4222
Cl 2.4222 0.0000 2.4222
Cl 2.4222 2.4222 0.0000
```

Model b:
DFT (PBE-GGA) results for ZnFeCl3 after structural relaxation.

extended XYZ file:
```
5
Lattice="4.8360 0.0000 0.0000 0.0000 4.8360 0.0000 0.0000 0.0000 4.8360" Properties=species:S:1:pos:R:3 pbc="T T T"
Zn 0.0000 0.0000 0.0000
Fe 2.4180 2.4180 2.4180
Cl 0.0000 0.0000 2.4180
Cl 0.0000 2.4180 0.0000
Cl 2.4180 0.0000 0.0000
```

We find model a to be the most stable, with the next structure 236 meV/atom higher.

Model a:
DFT (PBE-GGA) results for ZnFeCl after structural relaxation.

extended XYZ file:
```
3
Lattice="4.2130 0.0000 0.0000 -2.1065 3.6486 0.0000 0.0000 0.0000 3.1480" Properties=species:S:1:pos:R:3 pbc="T T T"
Zn 0.0000 0.0000 0.0000
Fe 0.0000 2.4324 1.5740
Cl 2.1065 1.2162 1.5740
```

Model b:
DFT (PBE-GGA) results for ZnFeCl after structural relaxation.

extended XYZ file:
```
3
Lattice="0.0000 3.0446 3.0446 3.0446 0.0000 3.0446 3.0446 3.0446 0.0000" Properties=species:S:1:pos:R:3 pbc="T T T"
Zn 0.0000 0.0000 0.0000
Fe 4.5669 4.5669 4.5669
Cl 3.0446 3.0446 3.0446
```

We find model a to be the most stable, with the next structure 145 meV/atom higher.

Model a:
DFT (PBE-GGA) results for ZnFeCl after structural relaxation.

extended XYZ file:
```
3
Lattice="-1.4837 1.4837 5.9496 1.4837 -1.4837 5.9496 1.4837 1.4837 -5.9496" Properties=species:S:1:pos:R:3 pbc="T T T"
Zn 0.0000 0.0000 0.0000
Fe 0.0000 0.0000 4.3589
Cl 0.0000 0.0000 8.8547
```

Model b:
DFT (PBE-GGA) results for ZnFeCl after structural relaxation.

extended XYZ file:
```
3
Lattice="3.1389 0.0000 0.0000 -1.5695 2.7184 0.0000 0.0000 0.0000 5.9989" Properties=species:S:1:pos:R:3 pbc="T T T"
Zn 0.0000 0.0000 0.0000
Fe 0.0000 1.8122 4.1970
Cl 1.5695 0.9061 2.6225
```

We find model b to be the most stable, with the next structure 90 meV/atom higher.

Model a:
DFT (PBE-GGA) results for Zn3FeCl after structural relaxation.

extended XYZ file:
```
5
Lattice="4.8280 0.0000 0.0000 0.0000 4.8280 0.0000 0.0000 0.0000 4.8280" Properties=species:S:1:pos:R:3 pbc="T T T"
Zn 0.0000 0.0000 2.4140
Zn 0.0000 2.4140 0.0000
Zn 2.4140 0.0000 0.0000
Fe 0.0000 0.0000 0.0000
Cl 2.4140 2.4140 2.4140
```

Model b:
DFT (PBE-GGA) results for Zn3FeCl after structural relaxation.

extended XYZ file:
```
5
Lattice="4.6572 0.0000 0.0000 0.0000 4.6572 0.0000 0.0000 0.0000 4.6572" Properties=species:S:1:pos:R:3 pbc="T T T"
Zn 0.0000 0.0000 2.3286
Zn 0.0000 2.3286 0.0000
Zn 2.3286 0.0000 0.0000
Fe 2.3286 2.3286 2.3286
Cl 0.0000 0.0000 0.0000
```

We find model a to be the most stable, with the next structure 925 meV/atom higher.